Computed, not measured: YMo3Se2ClO8 after structural relaxation at the PBE with a Hubbard U level of DFT.

```
30
Lattice="6.7925 0.0000 0.0000 0.1707 7.0972 0.0000 0.0879 0.9361 10.7041" Properties=species:S:1:pos:R:3 pbc="T T T"
Y 0.0000 0.0000 0.0000
Y 3.5170 3.8531 5.5482
Mo 0.2982 3.4825 0.1712
Mo 1.8654 5.4578 2.7068
Mo 2.0091 5.9779 8.0547
Mo 3.7922 7.4255 5.2113
Mo 5.2357 5.3989 2.7037
Mo 5.4147 5.9667 8.0848
Se 0.2213 2.9714 7.4706
Se 0.2488 2.9695 4.3459
Se 3.2428 0.8181 1.1161
Se 3.6517 1.8563 8.6476
Cl 4.0927 3.8120 1.1744
Cl 6.1933 7.0487 4.5693
O 0.1457 5.0818 1.4847
O 0.3354 5.9832 9.3958
O 0.7657 1.8001 0.9783
O 1.4478 4.3213 4.5050
O 1.7226 3.9105 7.3455
O 2.1809 0.9329 8.6863
O 2.3050 6.5076 0.8727
O 2.7832 1.8447 4.6419
O 3.5740 5.8058 3.9967
O 3.7025 5.9616 6.7003
O 3.9968 1.8329 6.8688
O 5.0744 7.8347 9.1099
O 5.0344 7.0137 1.2889
O 5.4460 3.8571 4.2254
O 5.7705 4.1127 7.0632
O 6.7864 2.9913 9.2345
```

Values from the calculation:
* crystal system: triclinic
* calculated total energy: -0.4721 Ry per atom
* space group: P1, No. 1